# 1
PmPrAlGe: optimized geometry, PBE-GGA.

POSCAR file:
```
PmPrAlGe
1.0
4.513 0.000 0.000
0.000 4.131 0.000
-2.257 0.000 5.674
Al Ge Pr Pm
1 1 1 1
Cartesian
0.000 0.000 4.864 Al
2.257 2.065 0.822 Ge
0.000 0.000 1.601 Pr
2.257 2.065 4.060 Pm
```

## Properties
The polymorph energy (0 for the lowest one) comes out at 0.0 meV per atom. The crystal system is orthorhombic. The space group is No. 38. For the density of states at the Fermi level, the calculation gives 3.4 states/eV per cell.

# 2
La4BiAsS2: optimized geometry, PBE-GGA.

POSCAR file:
```
La4BiAsS2
1.0
-0.361 3.193 -2.950
-6.312 -3.107 -2.591
-5.960 2.816 3.776
La S As Bi
4 2 1 1
Cartesian
-6.520 -0.036 -2.468 La
-6.113 2.939 0.702 La
-9.215 -0.336 0.762 La
-3.418 3.239 -2.527 La
-3.160 3.005 0.413 S
-5.960 2.816 3.776 S
-6.136 -0.145 0.593 As
-9.297 2.859 1.005 Bi
```

## Properties
As for the formation energy from raw total energies: -1.699 eV/atom. The crystal system is monoclinic. The space group is No. 10. For the density of states at the Fermi level, the calculation gives 3.8 states/eV per cell.

# 3
Tb2PrNdTm5: optimized geometry, PBE-GGA.

POSCAR file:
```
Tb2PrNdTm5
1.0
-8.436 -2.333 0.748
-0.170 -2.120 -8.523
6.388 -4.767 5.585
Tm Pr Nd Tb
10 2 2 4
Cartesian
3.982 -4.883 -0.723 Tm
-0.920 -5.388 3.217 Tm
-5.531 -5.188 -5.794 Tm
-1.298 -3.832 -5.406 Tm
0.000 0.000 0.000 Tm
-6.200 -4.337 -1.466 Tm
-0.251 -6.239 -1.111 Tm
-4.303 -2.226 -3.887 Tm
3.313 -4.032 3.605 Tm
-1.967 -2.981 -1.078 Tm
1.042 -3.497 0.849 Pr
-3.260 -5.723 -3.038 Pr
0.958 -4.557 -3.412 Nd
-3.175 -4.663 1.223 Nd
-1.037 -1.084 -3.194 Tb
-3.397 -2.774 -7.254 Tb
-7.569 -3.368 -4.581 Tb
-5.209 -1.679 -0.521 Tb
```

## Properties
For the electronic total energy, the calculation gives -4.30 eV/atom. The crystal system is tetragonal. The space group is No. 140. For the density of states at the Fermi level, the calculation gives 20.5 states/eV per cell.

# 4
La2Ce2Ge4Pd: optimized geometry, PBE-GGA.

POSCAR file:
```
La2Ce2Ge4Pd
1.0
6.637 0.310 0.448
-2.914 5.971 -0.448
-2.914 -2.517 5.433
La Ge Pd Ce
2 4 1 2
Cartesian
0.405 -0.240 4.187 La
0.405 4.004 1.246 La
1.799 0.984 1.421 Ge
-2.914 3.920 0.973 Ge
-0.989 2.780 4.012 Ge
-2.914 -0.466 4.012 Ge
0.000 0.000 0.000 Pd
-1.963 1.164 1.679 Ce
-3.864 2.290 3.306 Ce
```

## Properties
For the electronic total energy, the calculation gives -5.59 eV/atom. The crystal system is tetragonal. The space group is No. 139. For the density of states at the Fermi level, the calculation gives 7.9 states/eV per cell.

# 5
InIrW2: optimized geometry, PBE-GGA.

POSCAR file:
```
InIrW2
1.0
4.904 -0.008 -0.018
1.476 4.676 0.018
-3.177 -2.352 2.902
In W Ir
1 2 1
Cartesian
3.191 2.335 0.000 In
2.460 -0.012 1.442 W
6.376 4.665 0.000 W
0.746 2.330 1.460 Ir
```

## Properties
For the electronic total energy, the calculation gives -9.03 eV/atom. The crystal system is orthorhombic. The space group is No. 44. For the density of states at the Fermi level, the calculation gives 2.8 states/eV per cell.

# 6
CuAg2Rh: optimized geometry, PBE-GGA.

POSCAR file:
```
CuAg2Rh
1.0
-2.856 -3.400 0.460
-4.247 0.790 1.124
-3.252 -0.604 -2.998
Ag Cu Rh
2 1 1
Cartesian
-7.767 -2.410 -1.060 Ag
-2.589 -0.803 -0.353 Ag
0.000 0.000 0.000 Cu
-5.178 -1.607 -0.707 Rh
```

## Properties
The polymorph energy (0 for the lowest one) comes out at 124.0 meV per atom. The crystal system is cubic. The space group is No. 225. For the density of states at the Fermi level, the calculation gives 0.3 states/eV per cell.